LaYIrCl, relaxed, DFT PBE; ΔE_f (raw) = -1.2245 eV per atom; space group = R3m (160); magnetic moment = 0.0 μB per cell
1.0
-0.064 2.273 3.403
0.761 -4.013 0.235
7.280 1.193 -3.120
La Y Ir Cl
1 1 1 1
direct
0.508 0.152 0.674 La
0.104 0.950 0.070 Y
0.309 0.552 0.877 Ir
0.957 0.377 0.348 Cl

***

LaYIrCl2, relaxed, DFT PBE; ΔE_f (raw) = 0.0341 eV per atom; space group = P4/mmm (123); magnetic moment = 1.0 μB per cell
1.0
-1.101 -4.927 1.027
3.800 -2.164 -6.310
4.339 -0.397 2.749
Y Cl Ir La
1 2 1 1
direct
0.000 0.500 0.000 Y
0.000 0.000 0.500 Cl
0.500 0.000 0.000 Cl
0.500 0.500 0.500 Ir
0.000 0.000 0.000 La

***

LaY2IrCl, relaxed, DFT PBE; ΔE_f (raw) = -0.1394 eV per atom; space group = P4/mmm (123); magnetic moment = 0.0 μB per cell
1.0
5.153 0.000 0.000
0.000 4.845 0.000
0.000 0.000 5.153
Y Cl Ir La
2 1 1 1
direct
0.000 0.000 0.500 Y
0.500 0.000 0.000 Y
0.000 0.000 0.000 Cl
0.000 0.500 0.000 Ir
0.500 0.500 0.500 La

***

LiIr2Cl, relaxed, DFT PBE; ΔE_f (raw) = 0.8890 eV per atom; space group = Fm-3m (225); excess energy over the best structure of this formula in the dataset = 966 meV per atom; magnetic moment = 0.0 μB per cell
1.0
0.000 3.027 3.027
3.027 0.000 3.027
3.027 3.027 0.000
Ir Li Cl
2 1 1
direct
0.250 0.250 0.250 Ir
0.750 0.750 0.750 Ir
0.000 0.000 0.000 Li
0.500 0.500 0.500 Cl

***

LiIr2Cl, relaxed, DFT PBE; ΔE_f (raw) = 0.1738 eV per atom; space group = Cmm2 (35); excess energy over the best structure of this formula in the dataset = 251 meV per atom; magnetic moment = 0.0 μB per cell
1.0
-0.911 -2.378 -1.301
1.928 -0.147 2.107
-6.294 -0.713 5.711
Cl Ir Li
1 2 1
direct
0.500 0.500 0.730 Cl
0.000 0.000 0.997 Ir
0.500 0.500 0.252 Ir
0.000 0.000 0.521 Li

***

LiIr2Cl, relaxed, DFT PBE; ΔE_f (raw) = 0.2219 eV per atom; space group = P2/m (10); excess energy over the best structure of this formula in the dataset = 299 meV per atom; magnetic moment = 0.0 μB per cell
1.0
-3.397 -4.384 0.241
1.150 -0.755 2.480
-2.913 2.369 2.041
Cl Ir Li
1 2 1
direct
0.500 0.750 0.750 Cl
0.000 0.997 0.002 Ir
0.000 0.503 0.498 Ir
0.500 0.250 0.250 Li

***

LiIr2Cl, relaxed, DFT PBE; ΔE_f (raw) = -0.0418 eV per atom; space group = Immm (71); excess energy over the best structure of this formula in the dataset = 36 meV per atom; magnetic moment = 0.0 μB per cell
1.0
-6.847 -2.442 -2.847
-3.500 -5.280 -4.564
4.483 2.852 5.720
Cl Ir Li
1 2 1
direct
0.250 0.750 0.500 Cl
0.030 0.030 0.000 Ir
0.470 0.470 0.000 Ir
0.750 0.250 0.500 Li

***

LiIr2Cl, relaxed, DFT PBE; ΔE_f (raw) = 0.5771 eV per atom; space group = Cmmm (65); excess energy over the best structure of this formula in the dataset = 654 meV per atom; magnetic moment = 0.0 μB per cell
1.0
-0.904 -6.732 -0.592
3.758 4.436 3.563
-1.912 0.089 1.905
Cl Ir Li
1 2 1
direct
0.000 0.500 0.500 Cl
0.000 0.000 0.000 Ir
0.500 0.500 0.000 Ir
0.500 0.000 0.500 Li

***

LiIr2Cl, relaxed, DFT PBE; ΔE_f (raw) = -0.0568 eV per atom; space group = Pmm2 (25); excess energy over the best structure of this formula in the dataset = 21 meV per atom; magnetic moment = 0.0 μB per cell
1.0
-1.219 0.208 2.593
-3.403 -0.049 -1.596
-0.133 -7.004 0.500
Cl Ir Li
1 2 1
direct
0.500 0.500 0.618 Cl
0.000 0.000 0.109 Ir
0.500 0.500 0.237 Ir
0.000 0.000 0.536 Li

***

LiIr4Cl, relaxed, DFT PBE; ΔE_f (raw) = 0.7668 eV per atom; space group = F-43m (216); magnetic moment = 5.5 μB per cell
1.0
0.000 3.740 3.740
3.740 0.000 3.740
3.740 3.740 0.000
Li Ir Cl
1 4 1
direct
0.750 0.750 0.750 Li
0.874 0.375 0.375 Ir
0.375 0.375 0.874 Ir
0.375 0.874 0.375 Ir
0.375 0.375 0.375 Ir
0.000 0.000 0.000 Cl

***

- What is the formula in the eighth record?
  LiIr2Cl